(1)
Compound: Mg2SbMo
Source: Alexandria
Functional: PBEsol
Structure: relaxed

Computed properties:
Calculated total energy = -19.50 eV per cell
Energy relative to the elements, uncorrected = 25 kJ/mol of formula units

The structure in CIF format:
```
data_Mg2SbMo
_chemical_formula_sum 'Mg2 Sb1 Mo1'
_space_group_name_H-M_alt 'P 4 m m'
_space_group_IT_number 99
_cell_length_a 3.533
_cell_length_b 3.533
_cell_length_c 6.067
_cell_angle_alpha 90.00
_cell_angle_beta 90.00
_cell_angle_gamma 90.00
loop_
_space_group_symop_operation_xyz
'x,y,z'
'-y,x,z'
'-x,-y,z'
'y,-x,z'
'-x,y,z'
'y,x,z'
'x,-y,z'
'-y,-x,z'
loop_
_atom_site_label
_atom_site_fract_x
_atom_site_fract_y
_atom_site_fract_z
Mg1 0.000 0.000 0.000
Mg2 0.500 0.500 0.260
Sb1 0.500 0.500 0.722
Mo1 0.000 0.000 0.509
```



(2)
Compound: MgSbTe2Mo
Source: Alexandria
Functional: PBEsol
Structure: relaxed

Computed properties:
Calculated total energy = -19.41 eV per cell
Energy relative to the elements, uncorrected = 548 kJ/mol of formula units

The structure in CIF format:
```
data_MgSbTe2Mo
_chemical_formula_sum 'Mg1 Sb1 Te2 Mo1'
_space_group_name_H-M_alt 'P 4/m m m'
_space_group_IT_number 123
_space_group_name_Hall '-P 4 2'
_cell_length_a 5.320
_cell_length_b 5.320
_cell_length_c 5.157
_cell_angle_alpha 90.00
_cell_angle_beta 90.00
_cell_angle_gamma 90.00
loop_
_atom_site_label
_atom_site_fract_x
_atom_site_fract_y
_atom_site_fract_z
Mg1 0.000 0.000 0.000
Sb1 0.000 0.000 0.500
Te1 0.000 0.500 0.000
Mo1 0.500 0.500 0.500
```



(3)
Compound: MgSc2Mo
Source: Alexandria
Functional: PBEsol
Structure: relaxed

Computed properties:
Calculated total energy = -26.41 eV per cell
E_form = 72 meV per atom

The structure in CIF format:
```
data_MgSc2Mo
_chemical_formula_sum 'Mg1 Sc2 Mo1'
_space_group_name_H-M_alt 'P 4/m m m'
_space_group_IT_number 123
_space_group_name_Hall '-P 4 2'
_cell_length_a 3.320
_cell_length_b 3.320
_cell_length_c 7.446
_cell_angle_alpha 90.00
_cell_angle_beta 90.00
_cell_angle_gamma 90.00
loop_
_atom_site_label
_atom_site_fract_x
_atom_site_fract_y
_atom_site_fract_z
Mg1 0.000 0.000 0.000
Sc1 0.500 0.500 0.293
Mo1 0.000 0.000 0.500
```



(4)
Compound: MgSc2Mo
Source: Alexandria
Functional: PBEsol
Structure: relaxed

Computed properties:
Calculated total energy = -52.71 eV per cell
E_form = 85 meV per atom

The structure in CIF format:
```
data_MgSc2Mo
_chemical_formula_sum 'Mg2 Sc4 Mo2'
_space_group_name_H-M_alt 'C m m m'
_space_group_IT_number 65
_space_group_name_Hall '-C 2 2'
_cell_length_a 3.501
_cell_length_b 4.808
_cell_length_c 9.598
_cell_angle_alpha 90.00
_cell_angle_beta 90.00
_cell_angle_gamma 90.00
loop_
_atom_site_label
_atom_site_fract_x
_atom_site_fract_y
_atom_site_fract_z
Mg1 0.000 0.000 0.000
Sc1 0.000 0.500 0.282
Mo1 0.000 0.000 0.500
```



(5)
Compound: MgSc2Mo
Source: Alexandria
Functional: PBEsol
Structure: relaxed

Computed properties:
Calculated total energy = -51.58 eV per cell
E_form = 227 meV per atom

The structure in CIF format:
```
data_MgSc2Mo
_chemical_formula_sum 'Mg2 Sc4 Mo2'
_space_group_name_H-M_alt 'C 1 m 1'
_space_group_IT_number 8
_cell_length_a 10.087
_cell_length_b 2.963
_cell_length_c 5.321
_cell_angle_alpha 90.00
_cell_angle_beta 97.96
_cell_angle_gamma 90.00
loop_
_space_group_symop_operation_xyz
'x,y,z'
'x,-y,z'
'x+1/2,y+1/2,z'
'x+1/2,-y+1/2,z'
loop_
_atom_site_label
_atom_site_fract_x
_atom_site_fract_y
_atom_site_fract_z
Mg1 0.000 0.000 0.000
Sc1 0.246 0.000 0.774
Sc2 0.474 0.000 0.465
Mo1 0.231 0.500 0.283
```



(6)
Compound: Mg2MoSe
Source: Alexandria
Functional: PBEsol
Structure: relaxed

Computed properties:
Calculated total energy = -36.81 eV per cell
Energy relative to the elements, uncorrected = 62 kJ/mol of formula units

The structure in CIF format:
```
data_Mg2MoSe
_chemical_formula_sum 'Mg4 Mo2 Se2'
_space_group_name_H-M_alt 'C m m m'
_space_group_IT_number 65
_space_group_name_Hall '-C 2 2'
_cell_length_a 5.284
_cell_length_b 8.584
_cell_length_c 3.095
_cell_angle_alpha 90.00
_cell_angle_beta 90.00
_cell_angle_gamma 90.00
loop_
_atom_site_label
_atom_site_fract_x
_atom_site_fract_y
_atom_site_fract_z
Mg1 0.250 0.250 0.000
Mo1 0.000 0.000 0.500
Se1 0.000 0.500 0.500
```



(7)
Compound: MgMoSe
Source: Alexandria
Functional: PBEsol
Structure: relaxed

Computed properties:
Calculated total energy = -62.08 eV per cell
Energy relative to the elements, uncorrected = 175 kJ/mol of formula units

The structure in CIF format:
```
data_MgMoSe
_chemical_formula_sum 'Mg4 Mo4 Se4'
_space_group_name_H-M_alt 'F -4 3 m'
_space_group_IT_number 216
_space_group_name_Hall 'F -4 2 3'
_cell_length_a 6.094
_cell_length_b 6.094
_cell_length_c 6.094
_cell_angle_alpha 90.00
_cell_angle_beta 90.00
_cell_angle_gamma 90.00
loop_
_atom_site_label
_atom_site_fract_x
_atom_site_fract_y
_atom_site_fract_z
Mg1 0.000 0.000 0.000
Mo1 0.250 0.250 0.750
Se1 0.000 0.000 0.500
```



(8)
Compound: Mg2MoSe
Source: Alexandria
Functional: PBEsol
Structure: relaxed

Computed properties:
Calculated total energy = -37.36 eV per cell
Energy relative to the elements, uncorrected = 36 kJ/mol of formula units

The structure in CIF format:
```
data_Mg2MoSe
_chemical_formula_sum 'Mg4 Mo2 Se2'
_space_group_name_H-M_alt 'C m m m'
_space_group_IT_number 65
_space_group_name_Hall '-C 2 2'
_cell_length_a 3.671
_cell_length_b 4.529
_cell_length_c 8.662
_cell_angle_alpha 90.00
_cell_angle_beta 90.00
_cell_angle_gamma 90.00
loop_
_atom_site_label
_atom_site_fract_x
_atom_site_fract_y
_atom_site_fract_z
Mg1 0.000 0.000 0.243
Mo1 0.000 0.500 0.000
Se1 0.000 0.500 0.500
```



(9)
Compound: Mg2MoSe
Source: Alexandria
Functional: PBEsol
Structure: relaxed

Computed properties:
Calculated total energy = -18.11 eV per cell
Energy relative to the elements, uncorrected = 91 kJ/mol of formula units

The structure in CIF format:
```
data_Mg2MoSe
_chemical_formula_sum 'Mg2 Mo1 Se1'
_space_group_name_H-M_alt 'P 4/m m m'
_space_group_IT_number 123
_space_group_name_Hall '-P 4 2'
_cell_length_a 4.336
_cell_length_b 4.336
_cell_length_c 3.765
_cell_angle_alpha 90.00
_cell_angle_beta 90.00
_cell_angle_gamma 90.00
loop_
_atom_site_label
_atom_site_fract_x
_atom_site_fract_y
_atom_site_fract_z
Mg1 0.000 0.500 0.000
Mo1 0.000 0.000 0.500
Se1 0.500 0.500 0.500
```



(10)
Compound: MgMoSe2
Source: Alexandria
Functional: PBEsol
Structure: relaxed

Computed properties:
Calculated total energy = -21.83 eV per cell
Energy relative to the elements, uncorrected = -62 kJ/mol of formula units

The structure in CIF format:
```
data_MgMoSe2
_chemical_formula_sum 'Mg1 Mo1 Se2'
_space_group_name_H-M_alt 'P 4/m m m'
_space_group_IT_number 123
_space_group_name_Hall '-P 4 2'
_cell_length_a 4.584
_cell_length_b 4.584
_cell_length_c 3.202
_cell_angle_alpha 90.00
_cell_angle_beta 90.00
_cell_angle_gamma 90.00
loop_
_atom_site_label
_atom_site_fract_x
_atom_site_fract_y
_atom_site_fract_z
Mg1 0.000 0.000 0.000
Mo1 0.500 0.500 0.000
Se1 0.000 0.500 0.500
```



(11)
Compound: Mg2MoSe
Source: Alexandria
Functional: PBEsol
Structure: relaxed

Computed properties:
Calculated total energy = -36.74 eV per cell
Energy relative to the elements, uncorrected = 66 kJ/mol of formula units

The structure in CIF format:
```
data_Mg2MoSe
_chemical_formula_sum 'Mg4 Mo2 Se2'
_space_group_name_H-M_alt 'C m m 2'
_space_group_IT_number 35
_cell_length_a 3.358
_cell_length_b 5.048
_cell_length_c 8.947
_cell_angle_alpha 90.00
_cell_angle_beta 90.00
_cell_angle_gamma 90.00
loop_
_space_group_symop_operation_xyz
'x,y,z'
'-x,-y,z'
'-x,y,z'
'x,-y,z'
'x+1/2,y+1/2,z'
'-x+1/2,-y+1/2,z'
'-x+1/2,y+1/2,z'
'x+1/2,-y+1/2,z'
loop_
_atom_site_label
_atom_site_fract_x
_atom_site_fract_y
_atom_site_fract_z
Mg1 0.000 0.000 0.000
Mg2 0.000 0.500 0.285
Mo1 0.000 0.000 0.535
Se1 0.000 0.500 0.737
```



(12)
Compound: MgMoSe2
Source: Alexandria
Functional: PBEsol
Structure: relaxed

Computed properties:
Calculated total energy = -21.74 eV per cell
Energy relative to the elements, uncorrected = -53 kJ/mol of formula units

The structure in CIF format:
```
data_MgMoSe2
_chemical_formula_sum 'Mg1 Mo1 Se2'
_space_group_name_H-M_alt 'P m m m'
_space_group_IT_number 47
_cell_length_a 3.254
_cell_length_b 3.263
_cell_length_c 7.173
_cell_angle_alpha 90.00
_cell_angle_beta 90.00
_cell_angle_gamma 90.00
loop_
_space_group_symop_operation_xyz
'x,y,z'
'-x,-y,-z'
'-x,-y,z'
'x,y,-z'
'x,-y,-z'
'-x,y,z'
'-x,y,-z'
'x,-y,z'
loop_
_atom_site_label
_atom_site_fract_x
_atom_site_fract_y
_atom_site_fract_z
Mg1 0.000 0.000 0.000
Mo1 0.000 0.500 0.500
Se1 0.500 0.500 0.235
```



The calculation returns the following spin magnetization values, one per record and in order: 0.2, 3.6, 0.0, 0.0, 0.0, 0.0, 0.0, 0.0, 1.9, 0.9, 0.0, 0.0 μB/f.u..